Record 1
# Cu5C3 PBE relaxed
# **Formation energy from the elements**: 9.20 eV/f.u.
# **Crystal system**: tetragonal
# **Offset from the most stable computed form**: 0.740 eV/f.u.
# **Energy**: -77.90 eV per cell
data_Cu5C3
_chemical_formula_sum 'Cu10 C6'
_symmetry_space_group_name_H-M 'P 1'
_symmetry_Int_Tables_number 1
_cell_length_a 6.080
_cell_length_b 6.080
_cell_length_c 6.080
_cell_angle_alpha 100.76
_cell_angle_beta 100.76
_cell_angle_gamma 128.79
loop_
_symmetry_equiv_pos_as_xyz
'x,y,z'
loop_
_atom_site_label
_atom_site_fract_x
_atom_site_fract_y
_atom_site_fract_z
_atom_site_occupancy
Cu1 0.067 0.787 0.854 1
Cu2 0.213 0.067 0.280 1
Cu3 0.250 0.750 0.500 1
Cu4 0.287 0.567 0.854 1
Cu5 0.433 0.287 0.720 1
Cu6 0.567 0.713 0.280 1
Cu7 0.713 0.433 0.146 1
Cu8 0.750 0.250 0.500 1
Cu9 0.787 0.933 0.720 1
Cu10 0.933 0.213 0.146 1
C1 0.163 0.337 0.500 1
C2 0.250 0.250 0.000 1
C3 0.337 0.837 0.174 1
C4 0.663 0.163 0.826 1
C5 0.750 0.750 0.000 1
C6 0.837 0.663 0.500 1


Record 2
# Cr2Ir2Rh PBE relaxed
# **Formation energy from the elements**: 0.25 eV/f.u.
# **Crystal system**: orthorhombic
# **Offset from the most stable computed form**: 0.317 eV/f.u.
# **Energy**: -44.07 eV per cell
data_Cr2Ir2Rh
_chemical_formula_sum 'Cr2 Ir2 Rh1'
_symmetry_space_group_name_H-M 'P 1'
_symmetry_Int_Tables_number 1
_cell_length_a 4.628
_cell_length_b 4.628
_cell_length_c 4.628
_cell_angle_alpha 127.65
_cell_angle_beta 108.90
_cell_angle_gamma 93.74
loop_
_symmetry_equiv_pos_as_xyz
'x,y,z'
loop_
_atom_site_label
_atom_site_fract_x
_atom_site_fract_y
_atom_site_fract_z
_atom_site_occupancy
Cr1 0.201 0.000 0.201 1
Cr2 0.799 0.000 0.799 1
Ir1 0.200 0.700 0.500 1
Ir2 0.800 0.300 0.500 1
Rh1 0.500 0.500 0.000 1


Record 3
# InS2O PBE relaxed
# **Crystal system**: trigonal
# **E_form (uncorrected)**: 0.817 eV/atom
# **Offset from the most stable computed form**: 3.356 eV/f.u.
# **Energy**: -12.68 eV per cell
data_InS2O
_chemical_formula_sum 'In1 S2 O1'
_symmetry_space_group_name_H-M 'P 1'
_symmetry_Int_Tables_number 1
_cell_length_a 8.736
_cell_length_b 8.736
_cell_length_c 8.736
_cell_angle_alpha 19.93
_cell_angle_beta 19.93
_cell_angle_gamma 19.93
loop_
_symmetry_equiv_pos_as_xyz
'x,y,z'
loop_
_atom_site_label
_atom_site_fract_x
_atom_site_fract_y
_atom_site_fract_z
_atom_site_occupancy
In1 0.000 0.000 0.000 1
S1 0.107 0.107 0.107 1
S2 0.893 0.893 0.893 1
O1 0.500 0.500 0.500 1


Record 4
# CrOs2Ru PBE relaxed
# **Formation energy from the elements**: 0.42 eV/f.u.
# **Crystal system**: orthorhombic
# **Offset from the most stable computed form**: 0.151 eV/f.u.
# **Energy**: -40.94 eV per cell
data_CrOs2Ru
_chemical_formula_sum 'Cr1 Os2 Ru1'
_symmetry_space_group_name_H-M 'P 1'
_symmetry_Int_Tables_number 1
_cell_length_a 4.645
_cell_length_b 4.645
_cell_length_c 2.699
_cell_angle_alpha 90.00
_cell_angle_beta 90.00
_cell_angle_gamma 109.30
loop_
_symmetry_equiv_pos_as_xyz
'x,y,z'
loop_
_atom_site_label
_atom_site_fract_x
_atom_site_fract_y
_atom_site_fract_z
_atom_site_occupancy
Cr1 0.000 0.000 0.000 1
Os1 0.000 0.500 0.500 1
Os2 0.500 0.000 0.500 1
Ru1 0.500 0.500 0.000 1


Record 5
# Tc2SN PBE relaxed
# **Crystal system**: cubic
# **E_form (uncorrected)**: 0.464 eV/atom
# **Offset from the most stable computed form**: 1.909 eV/f.u.
# **Energy**: -31.33 eV per cell
data_Tc2SN
_chemical_formula_sum 'Tc2 S1 N1'
_symmetry_space_group_name_H-M 'P 1'
_symmetry_Int_Tables_number 1
_cell_length_a 4.016
_cell_length_b 4.016
_cell_length_c 4.016
_cell_angle_alpha 60.00
_cell_angle_beta 60.00
_cell_angle_gamma 60.00
loop_
_symmetry_equiv_pos_as_xyz
'x,y,z'
loop_
_atom_site_label
_atom_site_fract_x
_atom_site_fract_y
_atom_site_fract_z
_atom_site_occupancy
Tc1 0.250 0.250 0.250 1
Tc2 0.750 0.750 0.750 1
S1 0.000 0.000 0.000 1
N1 0.500 0.500 0.500 1


Record 6
# La5GaHg4 PBE relaxed
# **Formation energy from the elements**: -5.16 eV/f.u.
# **Crystal system**: tetragonal
# **Energy**: -34.03 eV per cell
data_La5GaHg4
_chemical_formula_sum 'La5 Ga1 Hg4'
_symmetry_space_group_name_H-M 'P 1'
_symmetry_Int_Tables_number 1
_cell_length_a 3.873
_cell_length_b 3.873
_cell_length_c 19.533
_cell_angle_alpha 90.00
_cell_angle_beta 90.00
_cell_angle_gamma 90.00
loop_
_symmetry_equiv_pos_as_xyz
'x,y,z'
loop_
_atom_site_label
_atom_site_fract_x
_atom_site_fract_y
_atom_site_fract_z
_atom_site_occupancy
La1 0.000 0.000 0.000 1
La2 0.000 0.000 0.203 1
La3 0.000 0.000 0.409 1
La4 0.000 0.000 0.591 1
La5 0.000 0.000 0.797 1
Ga1 0.500 0.500 0.500 1
Hg1 0.500 0.500 0.102 1
Hg2 0.500 0.500 0.306 1
Hg3 0.500 0.500 0.694 1
Hg4 0.500 0.500 0.898 1


Record 7
# Zn2RuPb PBE relaxed
# **Formation energy from the elements**: 0.70 eV/f.u.
# **Crystal system**: tetragonal
# **Energy**: -14.83 eV per cell
data_Zn2RuPb
_chemical_formula_sum 'Zn2 Ru1 Pb1'
_symmetry_space_group_name_H-M 'P 1'
_symmetry_Int_Tables_number 1
_cell_length_a 3.267
_cell_length_b 3.267
_cell_length_c 6.888
_cell_angle_alpha 90.00
_cell_angle_beta 90.00
_cell_angle_gamma 90.00
loop_
_symmetry_equiv_pos_as_xyz
'x,y,z'
loop_
_atom_site_label
_atom_site_fract_x
_atom_site_fract_y
_atom_site_fract_z
_atom_site_occupancy
Zn1 0.000 0.000 0.184 1
Zn2 0.000 0.000 0.816 1
Ru1 0.500 0.500 0.000 1
Pb1 0.500 0.500 0.500 1


Record 8
# TmTaAl4 PBE relaxed
# **Formation energy from the elements**: -1.94 eV/f.u.
# **Crystal system**: cubic
# **Energy**: -33.23 eV per cell
data_TmTaAl4
_chemical_formula_sum 'Tm1 Ta1 Al4'
_symmetry_space_group_name_H-M 'P 1'
_symmetry_Int_Tables_number 1
_cell_length_a 5.302
_cell_length_b 5.302
_cell_length_c 5.302
_cell_angle_alpha 60.00
_cell_angle_beta 60.00
_cell_angle_gamma 60.00
loop_
_symmetry_equiv_pos_as_xyz
'x,y,z'
loop_
_atom_site_label
_atom_site_fract_x
_atom_site_fract_y
_atom_site_fract_z
_atom_site_occupancy
Tm1 0.000 0.000 0.000 1
Ta1 0.750 0.750 0.750 1
Al1 0.375 0.375 0.375 1
Al2 0.375 0.375 0.874 1
Al3 0.375 0.874 0.375 1
Al4 0.874 0.375 0.375 1


Record 9
# La2Y8Mg PBE relaxed
# **Formation energy from the elements**: 1.70 eV/f.u.
# **Crystal system**: monoclinic
# **Energy**: -61.46 eV per cell
data_La2Y8Mg
_chemical_formula_sum 'La2 Y8 Mg1'
_symmetry_space_group_name_H-M 'P 1'
_symmetry_Int_Tables_number 1
_cell_length_a 9.996
_cell_length_b 9.996
_cell_length_c 5.808
_cell_angle_alpha 91.99
_cell_angle_beta 91.99
_cell_angle_gamma 40.56
loop_
_symmetry_equiv_pos_as_xyz
'x,y,z'
loop_
_atom_site_label
_atom_site_fract_x
_atom_site_fract_y
_atom_site_fract_z
_atom_site_occupancy
La1 0.220 0.220 0.256 1
La2 0.780 0.780 0.744 1
Y1 0.049 0.049 0.233 1
Y2 0.114 0.640 0.261 1
Y3 0.327 0.327 0.767 1
Y4 0.360 0.886 0.739 1
Y5 0.640 0.114 0.261 1
Y6 0.673 0.673 0.233 1
Y7 0.886 0.360 0.739 1
Y8 0.951 0.951 0.767 1
Mg1 0.500 0.500 0.000 1


Record 10
# Tl12As5Cl3 PBE relaxed
# **Crystal system**: cubic
# **E_form (uncorrected)**: -0.073 eV/atom
# **Energy**: -234.54 eV per cell
data_Tl12As5Cl3
_chemical_formula_sum 'Tl48 As20 Cl12'
_symmetry_space_group_name_H-M 'P 1'
_symmetry_Int_Tables_number 1
_cell_length_a 15.454
_cell_length_b 15.454
_cell_length_c 15.454
_cell_angle_alpha 109.47
_cell_angle_beta 109.47
_cell_angle_gamma 109.47
loop_
_symmetry_equiv_pos_as_xyz
'x,y,z'
loop_
_atom_site_label
_atom_site_fract_x
_atom_site_fract_y
_atom_site_fract_z
_atom_site_occupancy
Tl1 0.051 0.220 0.142 1
Tl2 0.051 0.331 0.909 1
Tl3 0.079 0.720 0.669 1
Tl4 0.079 0.858 0.409 1
Tl5 0.091 0.642 0.421 1
Tl6 0.091 0.949 0.669 1
Tl7 0.142 0.051 0.220 1
Tl8 0.142 0.591 0.921 1
Tl9 0.169 0.220 0.579 1
Tl10 0.169 0.449 0.591 1
Tl11 0.220 0.142 0.051 1
Tl12 0.220 0.579 0.169 1
Tl13 0.280 0.331 0.921 1
Tl14 0.280 0.449 0.358 1
Tl15 0.331 0.909 0.051 1
Tl16 0.331 0.921 0.280 1
Tl17 0.358 0.280 0.449 1
Tl18 0.358 0.579 0.909 1
Tl19 0.409 0.079 0.858 1
Tl20 0.409 0.831 0.551 1
Tl21 0.421 0.091 0.642 1
Tl22 0.421 0.831 0.780 1
Tl23 0.449 0.358 0.280 1
Tl24 0.449 0.591 0.169 1
Tl25 0.551 0.409 0.831 1
Tl26 0.551 0.642 0.720 1
Tl27 0.579 0.169 0.220 1
Tl28 0.579 0.909 0.358 1
Tl29 0.591 0.169 0.449 1
Tl30 0.591 0.921 0.142 1
Tl31 0.642 0.421 0.091 1
Tl32 0.642 0.720 0.551 1
Tl33 0.669 0.079 0.720 1
Tl34 0.669 0.091 0.949 1
Tl35 0.720 0.551 0.642 1
Tl36 0.720 0.669 0.079 1
Tl37 0.780 0.421 0.831 1
Tl38 0.780 0.858 0.949 1
Tl39 0.831 0.551 0.409 1
Tl40 0.831 0.780 0.421 1
Tl41 0.858 0.409 0.079 1
Tl42 0.858 0.949 0.780 1
Tl43 0.909 0.051 0.331 1
Tl44 0.909 0.358 0.579 1
Tl45 0.921 0.142 0.591 1
Tl46 0.921 0.280 0.331 1
Tl47 0.949 0.669 0.091 1
Tl48 0.949 0.780 0.858 1
As1 0.000 0.000 0.000 1
As2 0.000 0.000 0.500 1
As3 0.000 0.500 0.000 1
As4 0.000 0.500 0.500 1
As5 0.125 0.750 0.875 1
As6 0.125 0.875 0.250 1
As7 0.250 0.125 0.875 1
As8 0.250 0.625 0.375 1
As9 0.375 0.250 0.625 1
As10 0.375 0.625 0.750 1
As11 0.500 0.000 0.000 1
As12 0.500 0.000 0.500 1
As13 0.500 0.500 0.000 1
As14 0.500 0.500 0.500 1
As15 0.625 0.375 0.250 1
As16 0.625 0.750 0.375 1
As17 0.750 0.375 0.625 1
As18 0.750 0.875 0.125 1
As19 0.875 0.125 0.750 1
As20 0.875 0.250 0.125 1
Cl1 0.125 0.250 0.375 1
Cl2 0.125 0.375 0.750 1
Cl3 0.250 0.375 0.125 1
Cl4 0.250 0.875 0.625 1
Cl5 0.375 0.125 0.250 1
Cl6 0.375 0.750 0.125 1
Cl7 0.625 0.250 0.875 1
Cl8 0.625 0.875 0.750 1
Cl9 0.750 0.125 0.375 1
Cl10 0.750 0.625 0.875 1
Cl11 0.875 0.625 0.250 1
Cl12 0.875 0.750 0.625 1


Record 11
# MnPPd3 PBE relaxed
# **Formation energy from the elements**: -0.32 eV/f.u.
# **Crystal system**: cubic
# **Offset from the most stable computed form**: 0.000 eV/f.u.
# **Energy**: -30.47 eV per cell
data_MnPPd3
_chemical_formula_sum 'Mn1 P1 Pd3'
_symmetry_space_group_name_H-M 'P 1'
_symmetry_Int_Tables_number 1
_cell_length_a 4.476
_cell_length_b 4.476
_cell_length_c 4.476
_cell_angle_alpha 90.00
_cell_angle_beta 90.00
_cell_angle_gamma 90.00
loop_
_symmetry_equiv_pos_as_xyz
'x,y,z'
loop_
_atom_site_label
_atom_site_fract_x
_atom_site_fract_y
_atom_site_fract_z
_atom_site_occupancy
Mn1 0.000 0.000 0.000 1
P1 0.500 0.500 0.500 1
Pd1 0.000 0.500 0.500 1
Pd2 0.500 0.000 0.500 1
Pd3 0.500 0.500 0.000 1


Record 12
# Ho2Sn3Ru PBE relaxed
# **Formation energy from the elements**: -2.35 eV/f.u.
# **Crystal system**: orthorhombic
# **Energy**: -65.58 eV per cell
data_Ho2Sn3Ru
_chemical_formula_sum 'Ho4 Sn6 Ru2'
_symmetry_space_group_name_H-M 'P 1'
_symmetry_Int_Tables_number 1
_cell_length_a 6.904
_cell_length_b 6.904
_cell_length_c 6.039
_cell_angle_alpha 90.00
_cell_angle_beta 90.00
_cell_angle_gamma 95.87
loop_
_symmetry_equiv_pos_as_xyz
'x,y,z'
loop_
_atom_site_label
_atom_site_fract_x
_atom_site_fract_y
_atom_site_fract_z
_atom_site_occupancy
Ho1 0.048 0.602 0.500 1
Ho2 0.398 0.952 0.500 1
Ho3 0.602 0.048 0.000 1
Ho4 0.952 0.398 0.000 1
Sn1 0.067 0.933 0.001 1
Sn2 0.339 0.339 0.250 1
Sn3 0.339 0.339 0.750 1
Sn4 0.661 0.661 0.250 1
Sn5 0.661 0.661 0.750 1
Sn6 0.933 0.067 0.501 1
Ru1 0.318 0.682 0.000 1
Ru2 0.682 0.318 0.500 1


Please write out number 4 again, unchanged.
# CrOs2Ru PBE relaxed
# **Formation energy from the elements**: 0.42 eV/f.u.
# **Crystal system**: orthorhombic
# **Offset from the most stable computed form**: 0.151 eV/f.u.
# **Energy**: -40.94 eV per cell
data_CrOs2Ru
_chemical_formula_sum 'Cr1 Os2 Ru1'
_symmetry_space_group_name_H-M 'P 1'
_symmetry_Int_Tables_number 1
_cell_length_a 4.645
_cell_length_b 4.645
_cell_length_c 2.699
_cell_angle_alpha 90.00
_cell_angle_beta 90.00
_cell_angle_gamma 109.30
loop_
_symmetry_equiv_pos_as_xyz
'x,y,z'
loop_
_atom_site_label
_atom_site_fract_x
_atom_site_fract_y
_atom_site_fract_z
_atom_site_occupancy
Cr1 0.000 0.000 0.000 1
Os1 0.000 0.500 0.500 1
Os2 0.500 0.000 0.500 1
Ru1 0.500 0.500 0.000 1


Which value of energy does entry 1 give?
-77.90 eV per cell


Among the records above, which one has the lowest energy?
Tl12As5Cl3


Which of these has the lowest energy?
Tl12As5Cl3